No. 1
! BaSmCo GGA-PBE optimized geometry; values from VASP
! - calculated total energy (eV/cell) = -26.67
! - volume (A^3/atom) = 35.199
! - M_tot (μB per formula unit) = 0.00
! - formation energy from the elements (eV per atom) = 0.1376
&SYSTEM
  ibrav = 0, nat = 6, ntyp = 3
/
ATOMIC_SPECIES
Ba 137.33 Ba.upf
Co 58.93 Co.upf
Sm 150.36 Sm.upf
ATOMIC_POSITIONS angstrom
Ba 8.711 -4.921 7.086
Ba 1.989 -1.925 1.938
Co 4.335 -3.731 4.048
Co 6.365 -3.116 4.976
Sm 4.708 -6.104 5.279
Sm 5.992 -0.742 3.745
CELL_PARAMETERS angstrom
-0.793 -2.846 3.619
1.390 -4.441 -0.172
10.103 0.441 5.576

---

No. 2
! Cu2NiAu6 GGA-PBE optimized geometry; values from VASP
! - calculated total energy (eV/cell) = -32.88
! - relative energy among the computed polymorphs (eV per atom) = 0.000
! - volume (A^3/atom) = 16.666
! - M_tot (μB per formula unit) = 0.01
! - formation energy from the elements (eV per atom) = 0.0847
&SYSTEM
  ibrav = 0, nat = 9, ntyp = 3
/
ATOMIC_SPECIES
Cu 63.55 Cu.upf
Au 196.97 Au.upf
Ni 58.69 Ni.upf
ATOMIC_POSITIONS angstrom
Cu 0.057 -2.402 4.062
Cu -3.367 -3.011 1.009
Au -2.527 -0.832 -0.454
Au 0.338 -0.077 5.435
Au -4.266 -2.788 -1.586
Au -0.829 -2.164 1.472
Au -2.481 -3.248 3.599
Au -3.649 -5.336 -0.364
Ni 0.000 0.000 0.000
CELL_PARAMETERS angstrom
-2.259 1.480 0.911
-4.534 -5.100 -2.952
3.482 -1.793 7.112

---

No. 3
! La4Pm5Y GGA-PBE optimized geometry; values from VASP
! - calculated total energy (eV/cell) = -48.38
! - relative energy among the computed polymorphs (eV per atom) = 0.000
! - volume (A^3/atom) = 36.126
! - M_tot (μB per formula unit) = 0.00
! - formation energy from the elements (eV per atom) = 0.1546
&SYSTEM
  ibrav = 0, nat = 10, ntyp = 3
/
ATOMIC_SPECIES
La 138.91 La.upf
Pm 145.00 Pm.upf
Y 88.91 Y.upf
ATOMIC_POSITIONS angstrom
La -6.169 -0.136 2.571
La -4.236 -1.389 0.275
La -2.848 -7.167 2.250
La -4.781 -5.915 4.546
Pm -3.770 -4.669 -0.652
Pm -1.615 0.261 1.819
Pm -2.865 -3.390 2.744
Pm -7.402 -7.565 3.002
Pm -6.151 -3.913 2.077
Y -2.093 0.238 -1.892
CELL_PARAMETERS angstrom
-4.186 0.475 -3.783
-3.355 -9.813 2.480
-1.475 2.034 6.125

---

No. 4
! NpCuTe2 GGA-PBE optimized geometry; values from VASP
! - calculated total energy (eV/cell) = -24.38
! - volume (A^3/atom) = 25.940
! - M_tot (μB per formula unit) = 4.00
! - uncorrected formation energy (eV per atom) = -0.266
&SYSTEM
  ibrav = 0, nat = 4, ntyp = 3
/
ATOMIC_SPECIES
Np 237.00 Np.upf
Cu 63.55 Cu.upf
Te 127.60 Te.upf
ATOMIC_POSITIONS angstrom
Np 4.105 2.370 3.523
Cu 4.105 2.370 0.034
Te 2.053 1.185 1.534
Te 2.053 1.185 5.573
CELL_PARAMETERS angstrom
4.105 0.000 0.000
2.053 3.555 0.000
2.053 1.185 7.109